Entry from Alexandria: a geometry-optimized AlMo2F structure (PBE with a Hubbard U).

```
data_AlMo2F
_symmetry_space_group_name_H-M 'F m -3 m'
_symmetry_Int_Tables_number 225
_symmetry_space_group_name_Hall '-F 4 2 3'
_cell_length_a 6.1955
_cell_length_b 6.1955
_cell_length_c 6.1955
_cell_angle_alpha 90.00
_cell_angle_beta 90.00
_cell_angle_gamma 90.00
loop_
_atom_site_label
_atom_site_type_symbol
_atom_site_fract_x
_atom_site_fract_y
_atom_site_fract_z
_atom_site_occupancy
Al1 Al 0.0000 0.0000 0.0000 1
Mo1 Mo 0.2500 0.2500 0.2500 1
F1 F 0.0000 0.0000 0.5000 1
```

Calculated values
**E above lowest polymorph**: 0.470 eV per atom
**Electronic total energy**: -4.06 eV per atom
**M_tot**: 0.00 μB/cell